DFT (GGA-PBE) results for Y2B5Pd14 after structural relaxation.

Formation energy = -0.446 eV per atom
DOS at the Fermi energy = 16.91 states/eV per cell
Total magnetic moment = 0.00 μB/atom
Symmetry = I4_1/amd

Geometry as POSCAR:
```
Y2B5Pd14
1.0
-4.770 -0.719 -9.223
-5.993 -8.495 -0.514
0.846 7.679 6.975
Y B Pd
4 10 28
Direct
0.784 0.784 0.000
0.534 0.034 0.500
0.966 0.466 0.500
0.216 0.216 0.000
0.250 0.750 0.500
0.500 0.500 0.000
0.375 0.336 0.461
0.086 0.125 0.461
0.664 0.625 0.539
0.875 0.914 0.539
0.375 0.914 0.039
0.664 0.125 0.039
0.086 0.625 0.961
0.875 0.336 0.961
0.808 0.476 0.669
0.861 0.192 0.669
0.313 0.313 0.625
0.063 0.937 0.500
0.437 0.563 0.500
0.687 0.687 0.375
0.437 0.937 0.875
0.687 0.313 0.000
0.313 0.687 0.000
0.063 0.563 0.125
0.375 0.625 0.750
0.375 0.125 0.750
0.375 0.625 0.250
0.875 0.625 0.250
0.808 0.139 0.331
0.889 0.058 0.831
0.226 0.058 0.169
0.942 0.774 0.831
0.942 0.111 0.169
0.524 0.192 0.331
0.570 0.356 0.214
0.644 0.858 0.214
0.644 0.430 0.786
0.180 0.894 0.286
0.608 0.894 0.714
0.106 0.392 0.286
0.106 0.820 0.714
0.142 0.356 0.786
```

=====

DFT (GGA-PBE) results for YB2Pd after structural relaxation.

Formation energy = -0.128 eV per atom
DOS at the Fermi energy = 3.82 states/eV per cell
Total magnetic moment = 0.00 μB/atom
Relative energy among the computed polymorphs = 0.000 eV/atom
Symmetry = I4_1/amd

Geometry as POSCAR:
```
YB2Pd
1.0
4.035 0.000 0.000
0.000 4.035 0.000
2.018 2.018 7.403
Y B Pd
2 4 2
Direct
0.500 0.500 0.000
0.250 0.750 0.500
0.875 0.125 0.250
0.875 0.625 0.250
0.375 0.125 0.750
0.875 0.125 0.750
0.000 0.000 0.000
0.750 0.250 0.500
```

=====

DFT (GGA-PBE) results for YB4Pd12 after structural relaxation.

Formation energy = -0.359 eV per atom
DOS at the Fermi energy = 3.52 states/eV per cell
Total magnetic moment = 0.00 μB/atom
Symmetry = Im-3

Geometry as POSCAR:
```
YB4Pd12
1.0
-2.226 -4.092 5.033
6.805 0.702 0.467
-2.977 6.151 0.570
Y B Pd
1 4 12
Direct
0.000 0.000 0.000
0.000 0.500 0.000
0.500 0.000 0.000
0.500 0.500 0.500
0.000 0.000 0.500
0.819 0.321 0.140
0.321 0.502 0.181
0.860 0.181 0.679
0.321 0.140 0.819
0.140 0.819 0.321
0.679 0.498 0.819
0.502 0.181 0.321
0.498 0.819 0.679
0.679 0.860 0.181
0.819 0.679 0.498
0.181 0.321 0.502
0.181 0.679 0.860
```

=====

DFT (GGA-PBE) results for YBPd2 after structural relaxation.

Formation energy = -0.387 eV per atom
DOS at the Fermi energy = 4.89 states/eV per cell
Total magnetic moment = 0.00 μB/atom
Symmetry = I-42d

Geometry as POSCAR:
```
YBPd2
1.0
7.030 0.000 0.000
0.000 7.030 0.000
3.515 3.515 2.789
Y B Pd
2 2 4
Direct
0.000 0.000 0.000
0.750 0.250 0.500
0.500 0.500 0.000
0.250 0.750 0.500
0.509 0.125 0.250
0.241 0.625 0.250
0.375 0.491 0.750
0.875 0.759 0.750
```

=====

DFT (GGA-PBE) results for YB2Pd7 after structural relaxation.

Formation energy = -0.358 eV per atom
DOS at the Fermi energy = 6.02 states/eV per cell
Total magnetic moment = 0.00 μB/atom
Relative energy among the computed polymorphs = 0.000 eV/atom
Symmetry = Fm-3m

Geometry as POSCAR:
```
YB2Pd7
1.0
-0.382 3.857 4.568
-3.579 4.786 -0.412
-5.011 0.283 3.270
Y B Pd
1 2 7
Direct
0.000 0.000 0.000
0.750 0.750 0.750
0.250 0.250 0.250
0.500 0.500 0.000
0.500 0.000 0.000
0.000 0.500 0.500
0.500 0.500 0.500
0.500 0.000 0.500
0.000 0.500 0.000
0.000 0.000 0.500
```

=====

DFT (GGA-PBE) results for YbBPd3 after structural relaxation.

Formation energy = -0.571 eV per atom
DOS at the Fermi energy = 19.54 states/eV per cell
Total magnetic moment = 0.06 μB/atom
Symmetry = Pm-3m

Geometry as POSCAR:
```
YbBPd3
1.0
4.314 0.000 0.000
0.000 4.314 0.000
0.000 0.000 4.314
Yb B Pd
1 1 3
Direct
0.000 0.000 0.000
0.500 0.500 0.500
0.500 0.000 0.500
0.000 0.500 0.500
0.500 0.500 0.000
```